[1]
# CsK2CdCl

Crystalline CsK2CdCl at its relaxed geometry (PBE-GGA, the Alexandria database).

Cell: 6.1309 6.1309 6.8194 Å, 90.00 90.00 90.00°
Space group P4/mmm (No. 123)
Inequivalent atoms, fractional coordinates:
Cs 0.0000 0.0000 0.0000 (multiplicity 1)
K 0.0000 0.5000 0.5000 (multiplicity 2)
Cd 0.5000 0.5000 0.0000 (multiplicity 1)
Cl 0.0000 0.0000 0.5000 (multiplicity 1)

Results
magnetization	0.000	μB per cell
density	2325	kg/m3
total DFT energy (no corrections)	-9.26	eV/cell
energy relative to the elements, uncorrected	-689.8	meV per atom


[2]
# CsK2Cd2Cl7

Crystalline CsK2Cd2Cl7 at its relaxed geometry (PBE-GGA, the Alexandria database).

Cell: 7.5132 7.5137 13.5939 Å, 90.00 106.02 90.00°
Space group C2/m (No. 12)
Inequivalent atoms, fractional coordinates:
Cs 0.0000 0.0000 0.0000 (multiplicity 2)
K 0.1768 0.0000 0.3619 (multiplicity 4)
Cd 0.1032 0.5000 0.2065 (multiplicity 4)
Cl 0.0000 0.5000 0.0000 (multiplicity 2)
Cl 0.1500 0.2506 0.7989 (multiplicity 8)
Cl 0.2039 0.5000 0.4019 (multiplicity 4)

Results
magnetization	0.000	μB per cell
density	3080	kg/m3
total DFT energy (no corrections)	-72.45	eV/cell
energy relative to the elements, uncorrected	-1534.9	meV per atom


[3]
# Cs3K3CdCl8

Crystalline Cs3K3CdCl8 at its relaxed geometry (PBE-GGA, the Alexandria database).

Cell: 9.1535 9.1535 23.7870 Å, 90.00 90.00 120.00°
Space group R-3m (No. 166, hexagonal axes)
Inequivalent atoms, fractional coordinates:
Cs 0.0000 0.5000 0.0000 (multiplicity 9)
K 0.0000 0.5000 0.5000 (multiplicity 9)
Cd 0.0000 0.0000 0.5000 (multiplicity 3)
Cl 0.0000 0.0000 0.2405 (multiplicity 6)
Cl 0.0498 0.5249 0.2301 (multiplicity 18)

Results
magnetization	1.149	μB per cell
density	2632	kg/m3
total DFT energy (no corrections)	-145.14	eV/cell
energy relative to the elements, uncorrected	-1789.1	meV per atom


[4]
# CsLaCd2Cl8

Crystalline CsLaCd2Cl8 at its relaxed geometry (PBE-GGA, the Alexandria database).

Cell: 6.7197 6.9037 9.7737 Å, 73.92 76.60 75.72°
Space group P-1 (No. 2)
Inequivalent atoms, fractional coordinates:
Cs 0.0000 0.0000 0.0000 (multiplicity 1)
La 0.0000 0.0000 0.5000 (multiplicity 1)
Cd 0.4624 0.4513 0.2124 (multiplicity 2)
Cl 0.1635 0.7068 0.7346 (multiplicity 2)
Cl 0.2458 0.7823 0.2965 (multiplicity 2)
Cl 0.2960 0.2384 0.4567 (multiplicity 2)
Cl 0.3955 0.2851 0.0287 (multiplicity 2)

Results
magnetization	0.000	μB per cell
density	3117	kg/m3
total DFT energy (no corrections)	-42.09	eV/cell
energy relative to the elements, uncorrected	-1641.8	meV per atom


[5]
# Cs2Li2CdCl6

Crystalline Cs2Li2CdCl6 at its relaxed geometry (PBE-GGA, the Alexandria database).

Cell: 12.9898 7.4657 7.7258 Å, 90.00 115.59 90.00°
Space group C2/m (No. 12)
Inequivalent atoms, fractional coordinates:
Cs 0.2146 0.0000 0.1733 (multiplicity 4)
Li 0.0810 0.5000 0.2771 (multiplicity 4)
Cd 0.0000 0.0000 0.5000 (multiplicity 2)
Cl 0.0230 0.2445 0.7642 (multiplicity 8)
Cl 0.2314 0.0000 0.6537 (multiplicity 4)

Results
magnetization	0.000	μB per cell
density	2973	kg/m3
total DFT energy (no corrections)	-71.58	eV/cell
energy relative to the elements, uncorrected	-1660.0	meV per atom


[6]
# Cs2LiCdCl5

Crystalline Cs2LiCdCl5 at its relaxed geometry (PBE-GGA, the Alexandria database).

Cell: 4.2590 19.9879 13.9226 Å, 90.00 90.00 90.00°
Space group Cmc2_1 (No. 36)
Inequivalent atoms, fractional coordinates:
Cs 0.0000 0.1189 0.0000 (multiplicity 4)
Cs 0.0000 0.1277 0.6169 (multiplicity 4)
Li 0.0000 0.4232 0.7512 (multiplicity 4)
Cd 0.0000 0.2089 0.3266 (multiplicity 4)
Cl 0.0000 0.0778 0.3349 (multiplicity 4)
Cl 0.0000 0.2901 0.9513 (multiplicity 4)
Cl 0.0000 0.3075 0.6937 (multiplicity 4)
Cl 0.0000 0.3353 0.3101 (multiplicity 4)
Cl 0.0000 0.4917 0.6157 (multiplicity 4)

Results
magnetization	0.670	μB per cell
density	3152	kg/m3
total DFT energy (no corrections)	-114.79	eV/cell
energy relative to the elements, uncorrected	-1658.7	meV per atom